1.
Below is a geometry-optimized Zn2AgCl structure, with properties calculated at the PBE-GGA level.

a b c (Å): 4.8618 4.8618 4.8618
angles (deg): 60.00 60.00 60.00
Last column: nearest neighbours and their distance in Å.
Sites, in units of the cell vectors:
Zn 0.2500 0.2500 0.2500  4 Ag 2.98, 4 Cl 2.98
Zn 0.7500 0.7500 0.7500  4 Cl 2.98, 4 Ag 2.98
Ag 0.5000 0.5000 0.5000  8 Zn 2.98
Cl 0.0000 0.0000 0.0000  8 Zn 2.98

**Fermi-level density of states**: 3.95 states/eV/cell
**Uncorrected formation energy**: 27.9 kJ/mol of atoms
**E**: -1.52 eV per atom


2.
Below is a geometry-optimized Ca12Zn3H5 structure, with properties calculated at the PBE-GGA level.

a b c (Å): 13.8107 13.8107 13.8107
angles (deg): 109.47 109.47 109.47
Last column: nearest neighbours and their distance in Å.
Sites, in units of the cell vectors:
Zn 0.7500 0.3750 0.1250  8 Ca 3.11-3.19
Zn 0.8750 0.7500 0.1250  8 Ca 3.11-3.19
Zn 0.3750 0.7500 0.6250  8 Ca 3.11-3.19
Zn 0.2500 0.1250 0.3750  8 Ca 3.11-3.19
Zn 0.8750 0.1250 0.2500  8 Ca 3.11-3.19
Zn 0.3750 0.6250 0.2500  8 Ca 3.11-3.19
Zn 0.6250 0.3750 0.7500  8 Ca 3.11-3.19
Zn 0.1250 0.8750 0.7500  8 Ca 3.11-3.19
Zn 0.7500 0.8750 0.6250  8 Ca 3.11-3.19
Zn 0.6250 0.2500 0.3750  8 Ca 3.11-3.19
Zn 0.1250 0.2500 0.8750  8 Ca 3.11-3.19
Zn 0.2500 0.6250 0.8750  8 Ca 3.11-3.19
H 0.1250 0.3750 0.2500  4 Ca 2.27
H 0.0000 0.5000 0.0000  6 Ca 2.67
H 0.0000 0.0000 0.0000  6 Ca 2.67
H 0.3750 0.2500 0.1250  4 Ca 2.27
H 0.5000 0.0000 0.5000  6 Ca 2.67
H 0.5000 0.5000 0.0000  6 Ca 2.67
H 0.1250 0.7500 0.3750  4 Ca 2.27
H 0.7500 0.1250 0.8750  4 Ca 2.27
H 0.7500 0.6250 0.3750  4 Ca 2.27
H 0.3750 0.1250 0.7500  4 Ca 2.27
H 0.6250 0.8750 0.2500  4 Ca 2.27
H 0.5000 0.5000 0.5000  6 Ca 2.67
H 0.5000 0.0000 0.0000  6 Ca 2.67
H 0.0000 0.0000 0.5000  6 Ca 2.67
H 0.2500 0.3750 0.6250  4 Ca 2.27
H 0.2500 0.8750 0.1250  4 Ca 2.27
H 0.0000 0.5000 0.5000  6 Ca 2.67
H 0.8750 0.2500 0.6250  4 Ca 2.27
H 0.6250 0.7500 0.8750  4 Ca 2.27
H 0.8750 0.6250 0.7500  4 Ca 2.27
Ca 0.7096 0.1183 0.0198  1 H 2.27
Ca 0.3102 0.5198 0.4015  1 H 2.27
Ca 0.9802 0.3817 0.2904  1 H 2.27
Ca 0.5198 0.2096 0.1183  1 H 2.27
Ca 0.5913 0.7096 0.6898  1 H 2.27
Ca 0.9802 0.5985 0.1898  1 H 2.27
Ca 0.3102 0.7904 0.4087  1 H 2.27
Ca 0.0985 0.9087 0.1183  1 H 2.27
Ca 0.5985 0.9802 0.6898  1 H 2.27
Ca 0.7096 0.5913 0.1898  1 H 2.27
Ca 0.7904 0.4802 0.3817  1 H 2.27
Ca 0.8102 0.9015 0.0198  1 H 2.27
Ca 0.1183 0.7096 0.5198  1 H 2.27
Ca 0.3817 0.4015 0.0913  1 H 2.27
Ca 0.0913 0.9015 0.3817  1 H 2.27
Ca 0.4087 0.1183 0.5985  1 H 2.27
Ca 0.0913 0.1898 0.2096  1 H 2.27
Ca 0.4802 0.6898 0.0985  1 H 2.27
Ca 0.8102 0.9087 0.2904  1 H 2.27
Ca 0.1183 0.4087 0.0985  1 H 2.27
Ca 0.3817 0.9802 0.7904  1 H 2.27
Ca 0.5985 0.6183 0.4087  1 H 2.27
Ca 0.9015 0.8102 0.5198  1 H 2.27
Ca 0.7904 0.3102 0.9087  1 H 2.27
Ca 0.4015 0.3817 0.5913  1 H 2.27
Ca 0.0985 0.1898 0.4802  1 H 2.27
Ca 0.2096 0.6898 0.0913  1 H 2.27
Ca 0.1898 0.0913 0.7096  1 H 2.27
Ca 0.6183 0.0198 0.2096  1 H 2.27
Ca 0.8817 0.5913 0.9015  1 H 2.27
Ca 0.5198 0.3102 0.9015  1 H 2.27
Ca 0.5913 0.8817 0.4015  1 H 2.27
Ca 0.9087 0.8102 0.7904  1 H 2.27
Ca 0.9087 0.0985 0.6183  1 H 2.27
Ca 0.8817 0.2904 0.4802  1 H 2.27
Ca 0.1898 0.0985 0.9802  1 H 2.27
Ca 0.6183 0.5985 0.9087  1 H 2.27
Ca 0.4015 0.0198 0.3102  1 H 2.27
Ca 0.2904 0.4087 0.8102  1 H 2.27
Ca 0.2096 0.5198 0.6183  1 H 2.27
Ca 0.9015 0.0913 0.8817  1 H 2.27
Ca 0.6898 0.2096 0.5913  1 H 2.27
Ca 0.4802 0.7904 0.8817  1 H 2.27
Ca 0.0198 0.4015 0.8102  1 H 2.27
Ca 0.4087 0.2904 0.3102  1 H 2.27
Ca 0.0198 0.6183 0.7096  1 H 2.27
Ca 0.6898 0.4802 0.5985  1 H 2.27
Ca 0.2904 0.8817 0.9802  1 H 2.27

**Fermi-level density of states**: 43.08 states/eV/cell
**E**: -2.47 eV per atom


3.
Below is a geometry-optimized Th5GeBi4 structure, with properties calculated at the PBE-GGA level.

a b c (Å): 6.4102 7.8688 7.8688
angles (deg): 80.45 65.96 65.96
Last column: nearest neighbours and their distance in Å.
Sites, in units of the cell vectors:
Th 0.9037 0.3732 0.8212  1 Ge 2.97, 4 Bi 3.22-3.28
Th 0.2769 0.8212 0.6268  1 Ge 2.97, 4 Bi 3.22-3.28
Th 0.7249 0.1788 0.3732  1 Ge 2.97, 4 Bi 3.22-3.28
Th 0.0981 0.6268 0.1788  1 Ge 2.97, 4 Bi 3.22-3.28
Th 0.5015 0.0000 0.0000  2 Ge 3.20-3.21, 4 Bi 3.25
Ge 0.0016 0.0000 0.0000  6 Th 2.97-3.21
Bi 0.4105 0.3970 0.7837  6 Th 3.22-3.34
Bi 0.8076 0.7837 0.6030  6 Th 3.22-3.34
Bi 0.1942 0.2163 0.3970  6 Th 3.22-3.34
Bi 0.5912 0.6030 0.2163  6 Th 3.22-3.34

**Fermi-level density of states**: 8.04 states/eV/cell
**E**: -6.34 eV per atom


4.
Below is a geometry-optimized TcAgPb3 structure, with properties calculated at the PBE-GGA level.

a b c (Å): 5.3215 5.3215 5.3215
angles (deg): 90.00 90.00 90.00
Last column: nearest neighbours and their distance in Å.
Sites, in units of the cell vectors:
Pb 0.0000 0.5000 0.0000  2 Tc 2.66
Pb 0.0000 0.0000 0.5000  2 Tc 2.66
Pb 0.5000 0.0000 0.0000  2 Tc 2.66
Tc 0.0000 0.0000 0.0000  6 Pb 2.66
Ag 0.5000 0.5000 0.5000  12 Pb 3.76

**Fermi-level density of states**: 0.07 states/eV/cell
**E**: -4.41 eV per atom